Record 1
# ScCoRu, PBEsol geometry, DFT meta-GGA SCAN
# - Energy: -22.10 eV per atom
# - Crystal system: tetragonal
data_ScCoRu
_chemical_formula_sum 'Sc2 Co2 Ru2'
_cell_length_a 2.753
_cell_length_b 2.753
_cell_length_c 11.213
_cell_angle_alpha 90.00
_cell_angle_beta 90.00
_cell_angle_gamma 90.00
_symmetry_space_group_name_H-M 'I 4 m m'
_symmetry_Int_Tables_number 107
_symmetry_space_group_name_Hall 'I 4 -2'
loop_
_atom_site_label
_atom_site_type_symbol
_atom_site_fract_x
_atom_site_fract_y
_atom_site_fract_z
Sc1 Sc 0.000 0.000 0.000
Co1 Co 0.000 0.000 0.323
Ru1 Ru 0.000 0.000 0.691

=====

Record 2
# InRh2Au, PBEsol geometry, DFT meta-GGA SCAN
# - Energy: -42.68 eV per atom
# - Crystal system: orthorhombic
data_InRh2Au
_chemical_formula_sum 'In2 Rh4 Au2'
_cell_length_a 5.880
_cell_length_b 7.043
_cell_length_c 3.018
_cell_angle_alpha 90.00
_cell_angle_beta 90.00
_cell_angle_gamma 90.00
_symmetry_space_group_name_H-M 'C m m m'
_symmetry_Int_Tables_number 65
_symmetry_space_group_name_Hall '-C 2 2'
loop_
_atom_site_label
_atom_site_type_symbol
_atom_site_fract_x
_atom_site_fract_y
_atom_site_fract_z
In1 In 0.000 0.000 0.000
Rh1 Rh 0.250 0.250 0.500
Au1 Au 0.000 0.500 0.000

=====

Record 3
# CrCdOs3, PBEsol geometry, DFT meta-GGA SCAN
# - Energy: -49.71 eV per atom
# - Crystal system: cubic
data_CrCdOs3
_chemical_formula_sum 'Cr1 Cd1 Os3'
_cell_length_a 4.722
_cell_length_b 4.722
_cell_length_c 4.722
_cell_angle_alpha 90.00
_cell_angle_beta 90.00
_cell_angle_gamma 90.00
_symmetry_space_group_name_H-M 'P m -3 m'
_symmetry_Int_Tables_number 221
_symmetry_space_group_name_Hall '-P 4 2 3'
loop_
_atom_site_label
_atom_site_type_symbol
_atom_site_fract_x
_atom_site_fract_y
_atom_site_fract_z
Cr1 Cr 0.000 0.000 0.000
Cd1 Cd 0.500 0.500 0.500
Os1 Os 0.000 0.500 0.500

=====

Record 4
# LaTlTc, PBEsol geometry, DFT meta-GGA SCAN
# - Energy: -49.55 eV per atom
# - Crystal system: cubic
data_LaTlTc
_chemical_formula_sum 'La4 Tl4 Tc4'
_cell_length_a 6.821
_cell_length_b 6.821
_cell_length_c 6.821
_cell_angle_alpha 90.00
_cell_angle_beta 90.00
_cell_angle_gamma 90.00
_symmetry_space_group_name_H-M 'F -4 3 m'
_symmetry_Int_Tables_number 216
_symmetry_space_group_name_Hall 'F -4 2 3'
loop_
_atom_site_label
_atom_site_type_symbol
_atom_site_fract_x
_atom_site_fract_y
_atom_site_fract_z
La1 La 0.000 0.000 0.000
Tl1 Tl 0.250 0.250 0.250
Tc1 Tc 0.000 0.000 0.500

=====

Record 5
# SiSeSCl2, PBEsol geometry, DFT meta-GGA SCAN
# - Crystal system: tetragonal
# - E_form (uncorrected): 0.18 eV/atom
data_SiSeSCl2
_chemical_formula_sum 'Si1 Se1 S1 Cl2'
_cell_length_a 4.476
_cell_length_b 4.476
_cell_length_c 4.891
_cell_angle_alpha 90.00
_cell_angle_beta 90.00
_cell_angle_gamma 90.00
_symmetry_space_group_name_H-M 'P 4/m m m'
_symmetry_Int_Tables_number 123
_symmetry_space_group_name_Hall '-P 4 2'
loop_
_atom_site_label
_atom_site_type_symbol
_atom_site_fract_x
_atom_site_fract_y
_atom_site_fract_z
Si1 Si 0.000 0.000 0.000
Se1 Se 0.500 0.500 0.500
S1 S 0.000 0.000 0.500
Cl1 Cl 0.000 0.500 0.000

=====

Record 6
# KTcAgP2, PBEsol geometry, DFT meta-GGA SCAN
# - Energy: -19.12 eV per atom
# - Crystal system: tetragonal
data_KTcAgP2
_chemical_formula_sum 'K1 Tc1 Ag1 P2'
_cell_length_a 4.516
_cell_length_b 4.516
_cell_length_c 5.318
_cell_angle_alpha 90.00
_cell_angle_beta 90.00
_cell_angle_gamma 90.00
_symmetry_space_group_name_H-M 'P 4/m m m'
_symmetry_Int_Tables_number 123
_symmetry_space_group_name_Hall '-P 4 2'
loop_
_atom_site_label
_atom_site_type_symbol
_atom_site_fract_x
_atom_site_fract_y
_atom_site_fract_z
K1 K 0.000 0.000 0.000
Tc1 Tc 0.500 0.500 0.500
Ag1 Ag 0.500 0.500 0.000
P1 P 0.000 0.500 0.500

=====

Record 7
# CeMg5, PBEsol geometry, DFT meta-GGA SCAN
# - Energy: -11.57 eV per atom
# - Crystal system: monoclinic
data_CeMg5
_chemical_formula_sum 'Ce2 Mg10'
_cell_length_a 12.936
_cell_length_b 3.074
_cell_length_c 7.486
_cell_angle_alpha 90.00
_cell_angle_beta 104.20
_cell_angle_gamma 90.00
_symmetry_space_group_name_H-M 'C 1 m 1'
_symmetry_Int_Tables_number 8
_symmetry_space_group_name_Hall 'C -2y'
loop_
_atom_site_label
_atom_site_type_symbol
_atom_site_fract_x
_atom_site_fract_y
_atom_site_fract_z
Ce1 Ce 0.000 0.000 0.000
Mg1 Mg 0.127 0.500 0.731
Mg2 Mg 0.170 0.500 0.346
Mg3 Mg 0.278 0.000 0.072
Mg4 Mg 0.327 0.000 0.667
Mg5 Mg 0.451 0.500 0.414

=====

Record 8
# KBeRh, PBEsol geometry, DFT meta-GGA SCAN
# - Energy: -15.56 eV per atom
# - Crystal system: tetragonal
data_KBeRh
_chemical_formula_sum 'K2 Be2 Rh2'
_cell_length_a 3.095
_cell_length_b 3.095
_cell_length_c 11.351
_cell_angle_alpha 90.00
_cell_angle_beta 90.00
_cell_angle_gamma 90.00
_symmetry_space_group_name_H-M 'I 4 m m'
_symmetry_Int_Tables_number 107
_symmetry_space_group_name_Hall 'I 4 -2'
loop_
_atom_site_label
_atom_site_type_symbol
_atom_site_fract_x
_atom_site_fract_y
_atom_site_fract_z
K1 K 0.000 0.000 0.000
Be1 Be 0.000 0.000 0.262
Rh1 Rh 0.000 0.000 0.731

=====

Record 9
# AlHg3I, PBEsol geometry, DFT meta-GGA SCAN
# - Crystal system: cubic
# - E_form (uncorrected): 0.85 eV/atom
data_AlHg3I
_chemical_formula_sum 'Al1 Hg3 I1'
_cell_length_a 5.832
_cell_length_b 5.832
_cell_length_c 5.832
_cell_angle_alpha 90.00
_cell_angle_beta 90.00
_cell_angle_gamma 90.00
_symmetry_space_group_name_H-M 'P m -3 m'
_symmetry_Int_Tables_number 221
_symmetry_space_group_name_Hall '-P 4 2 3'
loop_
_atom_site_label
_atom_site_type_symbol
_atom_site_fract_x
_atom_site_fract_y
_atom_site_fract_z
Al1 Al 0.000 0.000 0.000
Hg1 Hg 0.000 0.500 0.500
I1 I 0.500 0.500 0.500

=====

Record 10
# ScCo2Te, PBEsol geometry, DFT meta-GGA SCAN
# - Energy above the most stable polymorph in this dataset: 146 meV/atom
# - Crystal system: monoclinic
# - E_form (uncorrected): -0.03 eV/atom
data_ScCo2Te
_chemical_formula_sum 'Sc2 Co4 Te2'
_cell_length_a 8.888
_cell_length_b 3.559
_cell_length_c 3.934
_cell_angle_alpha 90.00
_cell_angle_beta 107.34
_cell_angle_gamma 90.00
_symmetry_space_group_name_H-M 'C 1 m 1'
_symmetry_Int_Tables_number 8
_symmetry_space_group_name_Hall 'C -2y'
loop_
_atom_site_label
_atom_site_type_symbol
_atom_site_fract_x
_atom_site_fract_y
_atom_site_fract_z
Sc1 Sc 0.000 0.000 0.000
Co1 Co 0.254 0.000 0.827
Co2 Co 0.489 0.000 0.476
Te1 Te 0.257 0.500 0.340

=====

Record 11
# SrFeAs2, PBEsol geometry, DFT meta-GGA SCAN
# - Energy: -20.27 eV per atom
# - Crystal system: tetragonal
data_SrFeAs2
_chemical_formula_sum 'Sr1 Fe1 As2'
_cell_length_a 3.361
_cell_length_b 3.361
_cell_length_c 6.988
_cell_angle_alpha 90.00
_cell_angle_beta 90.00
_cell_angle_gamma 90.00
_symmetry_space_group_name_H-M 'P 4 m m'
_symmetry_Int_Tables_number 99
_symmetry_space_group_name_Hall 'P 4 -2'
loop_
_atom_site_label
_atom_site_type_symbol
_atom_site_fract_x
_atom_site_fract_y
_atom_site_fract_z
Sr1 Sr 0.000 0.000 0.000
Fe1 Fe 0.500 0.500 0.635
As1 As 0.000 0.000 0.553
As2 As 0.500 0.500 0.292

=====

Record 12
# HgRh3, PBEsol geometry, DFT meta-GGA SCAN
# - Energy: -42.13 eV per atom
# - Crystal system: orthorhombic
data_HgRh3
_chemical_formula_sum 'Hg2 Rh6'
_cell_length_a 2.785
_cell_length_b 8.983
_cell_length_c 4.775
_cell_angle_alpha 90.00
_cell_angle_beta 90.00
_cell_angle_gamma 90.00
_symmetry_space_group_name_H-M 'I m m 2'
_symmetry_Int_Tables_number 44
_symmetry_space_group_name_Hall 'I 2 -2'
loop_
_atom_site_label
_atom_site_type_symbol
_atom_site_fract_x
_atom_site_fract_y
_atom_site_fract_z
Hg1 Hg 0.000 0.000 0.000
Rh1 Rh 0.000 0.242 0.656
Rh2 Rh 0.000 0.500 0.993

=====

Record 13
# SrCa2Tl2, PBEsol geometry, DFT meta-GGA SCAN
# - Energy: -37.78 eV per atom
# - Crystal system: tetragonal
data_SrCa2Tl2
_chemical_formula_sum 'Sr2 Ca4 Tl4'
_cell_length_a 8.940
_cell_length_b 8.940
_cell_length_c 4.034
_cell_angle_alpha 90.00
_cell_angle_beta 90.00
_cell_angle_gamma 90.00
_symmetry_space_group_name_H-M 'P 4/m b m'
_symmetry_Int_Tables_number 127
_symmetry_space_group_name_Hall '-P 4 2ab'
loop_
_atom_site_label
_atom_site_type_symbol
_atom_site_fract_x
_atom_site_fract_y
_atom_site_fract_z
Sr1 Sr 0.000 0.000 0.000
Ca1 Ca 0.161 0.339 0.500
Tl1 Tl 0.134 0.634 0.000

=====

Record 14
# MnTe2Pb, PBEsol geometry, DFT meta-GGA SCAN
# - Crystal system: trigonal
# - E_form (uncorrected): 0.24 eV/atom
data_MnTe2Pb
_chemical_formula_sum 'Mn3 Te6 Pb3'
_cell_length_a 3.3373
_cell_length_b 3.3373
_cell_length_c 33.3383
_cell_angle_alpha 90.00
_cell_angle_beta 90.00
_cell_angle_gamma 120.00
_symmetry_space_group_name_H-M 'R -3 m'
_symmetry_Int_Tables_number 166
_symmetry_space_group_name_Hall '-R 3 2"'
loop_
_atom_site_label
_atom_site_type_symbol
_atom_site_fract_x
_atom_site_fract_y
_atom_site_fract_z
Mn1 Mn 0.0000 0.0000 0.0000
Te1 Te 0.0000 0.0000 0.0779
Pb1 Pb 0.0000 0.0000 0.5000